Density functional theory data (PBE-GGA) for an optimized crystal structure of Pm2HoErTm5.

Unit cell a=9.817 b=9.817 c=9.817 alpha=128.45 beta=128.45 gamma=75.90
Element x y z (fractional)
Pm 0.117 0.617 0.734
Pm 0.383 0.117 0.500
Pm 0.617 0.883 0.500
Pm 0.883 0.383 0.266
Ho 0.250 0.250 0.000
Ho 0.750 0.750 0.000
Er 0.250 0.750 0.500
Er 0.750 0.250 0.500
Tm 0.000 0.000 0.000
Tm 0.073 0.147 0.500
Tm 0.147 0.647 0.074
Tm 0.353 0.427 0.500
Tm 0.427 0.927 0.074
Tm 0.500 0.500 0.000
Tm 0.573 0.073 0.926
Tm 0.647 0.573 0.500
Tm 0.853 0.353 0.926
Tm 0.927 0.853 0.500

- crystal system = tetragonal


Density functional theory data (PBE-GGA) for an optimized crystal structure of Pm6Ho2ErTm3.

Unit cell a=6.210 b=6.210 c=11.735 alpha=95.04 beta=95.04 gamma=119.99
Element x y z (fractional)
Pm 0.084 0.417 0.751
Pm 0.249 0.249 0.249
Pm 0.417 0.084 0.751
Pm 0.583 0.916 0.249
Pm 0.751 0.751 0.751
Pm 0.916 0.583 0.249
Ho 0.333 0.667 0.500
Ho 0.667 0.333 0.500
Er 0.000 0.000 0.500
Tm 0.167 0.833 0.000
Tm 0.500 0.500 0.000
Tm 0.833 0.167 0.000

- crystal system = monoclinic


ΔH_f (0 K)? In order: 280, 14 meV per atom.